# 1
DFT (PBE) results for ZnSbO2 after structural relaxation.

Structure (POSCAR):
```
ZnSbO2
1.0
5.180 0.000 0.000
0.000 5.180 0.000
2.590 2.590 4.659
Sb Zn O
2 2 4
Direct
0.000 0.000 0.000
0.750 0.250 0.500
0.500 0.500 0.000
0.250 0.750 0.500
0.568 0.125 0.250
0.182 0.625 0.250
0.375 0.432 0.750
0.875 0.818 0.750
```

Output
* formation energy from raw total energies: -0.822 eV per atom
* energy relative to the lowest polymorph listed for this composition: 158 meV per atom
* space-group type: No. 122


# 2
DFT (PBE) results for ZrSbO3 after structural relaxation.

Structure (POSCAR):
```
ZrSbO3
1.0
-0.364 3.017 -2.803
-3.293 -1.903 -1.620
-2.472 2.090 2.571
Sb O Zr
1 3 1
Direct
0.000 0.000 0.000
0.000 0.500 0.000
0.000 0.000 0.500
0.500 0.000 0.000
0.500 0.500 0.500
```

Output
* formation energy from raw total energies: -0.845 eV per atom
* space-group type: No. 221


# 3
DFT (PBE) results for Zr4SbO after structural relaxation.

Structure (POSCAR):
```
Zr4SbO
1.0
5.477 0.000 -0.001
-0.001 6.488 0.434
-2.740 -2.301 6.476
Zr Sb O
8 2 2
Direct
0.492 0.049 0.805
0.687 0.451 0.195
0.508 0.951 0.195
0.313 0.549 0.805
0.882 0.837 0.613
0.270 0.663 0.388
0.118 0.163 0.387
0.730 0.337 0.612
0.883 0.750 0.000
0.117 0.250 0.000
0.500 0.000 0.500
0.000 0.500 0.500
```

Output
* formation energy from raw total energies: -1.067 eV per atom
* space-group type: No. 15


# 4
DFT (PBE) results for Zr2SbO after structural relaxation.

Structure (POSCAR):
```
Zr2SbO
1.0
5.670 0.000 0.000
0.000 5.670 0.000
2.835 2.835 5.651
Sb O Zr
2 2 4
Direct
0.000 0.000 0.000
0.750 0.250 0.500
0.500 0.500 0.000
0.250 0.750 0.500
0.510 0.125 0.250
0.240 0.625 0.250
0.375 0.490 0.750
0.875 0.760 0.750
```

Output
* formation energy from raw total energies: -1.159 eV per atom
* energy relative to the lowest polymorph listed for this composition: 153 meV per atom
* space-group type: No. 122


| no. | V (Å³/cell) |
| --- | --- |
| 1 | 125 |
| 2 | 71 |
| 3 | 236 |
| 4 | 182 |